(1)
This record from Alexandria describes an optimized crystal structure of NaZn2Ag. The functional is PBE.

Computed properties:
As for the polymorph energy (0 for the lowest one): 67.5 meV per atom. For the calculated density, the calculation gives 6.02 Mg/m³. Its symmetry is No. 225. The calculation puts the formation enthalpy at 0 K at 0.0476 eV/atom.

Unit cell a=4.6739 b=4.6739 c=4.6739 alpha=60.00 beta=60.00 gamma=60.00
Sites, in units of the cell vectors:
Na 0.0000 0.0000 0.0000
Zn 0.2500 0.2500 0.2500
Zn 0.7500 0.7500 0.7500
Ag 0.5000 0.5000 0.5000

---

(2)
This record from Alexandria describes an optimized crystal structure of NaZn4Ag4. The functional is PBE.

Computed properties:
For the calculated density, the calculation gives 7.14 Mg/m³. Its symmetry is No. 137. The calculation puts the formation enthalpy at 0 K at 0.0042 eV/atom.

Unit cell a=5.8688 b=5.8688 c=9.6689 alpha=90.00 beta=90.00 gamma=90.00
Sites, in units of the cell vectors:
Na 0.2500 0.7500 0.2500
Na 0.7500 0.2500 0.7500
Zn 0.0316 0.2500 0.1833
Zn 0.2500 0.0316 0.6833
Zn 0.2500 0.4684 0.6833
Zn 0.4684 0.2500 0.1833
Zn 0.5316 0.7500 0.8167
Zn 0.7500 0.5316 0.3167
Zn 0.7500 0.9684 0.3167
Zn 0.9684 0.7500 0.8167
Ag 0.0135 0.2500 0.4704
Ag 0.2500 0.0135 0.9704
Ag 0.2500 0.4865 0.9704
Ag 0.4865 0.2500 0.4704
Ag 0.5135 0.7500 0.5296
Ag 0.7500 0.5135 0.0296
Ag 0.7500 0.9865 0.0296
Ag 0.9865 0.7500 0.5296

---

(3)
This record from Alexandria describes an optimized crystal structure of NaZn2Ag. The functional is PBE.

Computed properties:
As for the polymorph energy (0 for the lowest one): 154.5 meV per atom. For the calculated density, the calculation gives 5.91 Mg/m³. Its symmetry is No. 123. The calculation puts the formation enthalpy at 0 K at 0.1345 eV/atom.

Unit cell a=4.9042 b=4.9042 c=3.0555 alpha=90.00 beta=90.00 gamma=90.00
Sites, in units of the cell vectors:
Na 0.0000 0.0000 0.0000
Zn 0.0000 0.5000 0.5000
Zn 0.5000 0.0000 0.5000
Ag 0.5000 0.5000 0.0000

---

(4)
This record from Alexandria describes an optimized crystal structure of NaZn2Ag5. The functional is PBE.

Computed properties:
For the calculated density, the calculation gives 7.86 Mg/m³. Its symmetry is No. 71. The calculation puts the formation enthalpy at 0 K at -0.0078 eV/atom.

Unit cell a=7.1719 b=7.1719 c=7.1719 alpha=155.45 beta=104.39 gamma=80.90
Sites, in units of the cell vectors:
Na 0.0000 0.0000 0.0000
Zn 0.2512 0.7512 0.5000
Zn 0.7488 0.2488 0.5000
Ag 0.1364 0.3651 0.7713
Ag 0.4062 0.6349 0.7713
Ag 0.5000 0.0000 0.5000
Ag 0.5938 0.3651 0.2287
Ag 0.8636 0.6349 0.2287

---

(5)
This record from Alexandria describes an optimized crystal structure of NaZrAg2. The functional is PBE.

Computed properties:
As for the polymorph energy (0 for the lowest one): 0.0 meV per atom. For the calculated density, the calculation gives 6.44 Mg/m³. Its symmetry is No. 123. The calculation puts the formation enthalpy at 0 K at 0.0330 eV/atom.

Unit cell a=3.2264 b=3.2264 c=8.1739 alpha=90.00 beta=90.00 gamma=90.00
Sites, in units of the cell vectors:
Na 0.0000 0.0000 0.0000
Zr 0.0000 0.0000 0.5000
Ag 0.5000 0.5000 0.2642
Ag 0.5000 0.5000 0.7358

---

(6)
This record from Alexandria describes an optimized crystal structure of NaZr2Ag. The functional is PBE.

Computed properties:
As for the polymorph energy (0 for the lowest one): 148.3 meV per atom. For the calculated density, the calculation gives 5.61 Mg/m³. Its symmetry is No. 122. The calculation puts the formation enthalpy at 0 K at 0.6042 eV/atom.

Unit cell a=6.3930 b=6.3930 c=6.3930 alpha=101.20 beta=101.20 gamma=127.71
Sites, in units of the cell vectors:
Na 0.0000 0.0000 0.0000
Na 0.7500 0.2500 0.5000
Zr 0.1468 0.6250 0.0218
Zr 0.3750 0.3968 0.5218
Zr 0.6032 0.1250 0.9782
Zr 0.8750 0.8532 0.4782
Ag 0.2500 0.7500 0.5000
Ag 0.5000 0.5000 0.0000

---

(7)
This record from Alexandria describes an optimized crystal structure of Na2ZrAg. The functional is PBE.

Computed properties:
As for the polymorph energy (0 for the lowest one): 0.0 meV per atom. For the calculated density, the calculation gives 3.99 Mg/m³. Its symmetry is No. 122. The calculation puts the formation enthalpy at 0 K at 0.7157 eV/atom.

Unit cell a=6.5978 b=6.5978 c=6.5978 alpha=101.21 beta=101.21 gamma=127.67
Sites, in units of the cell vectors:
Na 0.0851 0.6250 0.9601
Na 0.3750 0.3351 0.4601
Na 0.6649 0.1250 0.0399
Na 0.8750 0.9149 0.5399
Zr 0.2500 0.7500 0.5000
Zr 0.5000 0.5000 0.0000
Ag 0.0000 0.0000 0.0000
Ag 0.7500 0.2500 0.5000

---

(8)
This record from Alexandria describes an optimized crystal structure of NaZrAg2. The functional is PBE.

Computed properties:
As for the polymorph energy (0 for the lowest one): 25.3 meV per atom. For the calculated density, the calculation gives 6.58 Mg/m³. Its symmetry is No. 123. The calculation puts the formation enthalpy at 0 K at 0.0584 eV/atom.

Unit cell a=5.3156 b=5.3156 c=2.9450 alpha=90.00 beta=90.00 gamma=90.00
Sites, in units of the cell vectors:
Na 0.0000 0.0000 0.0000
Zr 0.5000 0.5000 0.0000
Ag 0.0000 0.5000 0.5000
Ag 0.5000 0.0000 0.5000

---

(9)
This record from Alexandria describes an optimized crystal structure of Na3ZrAg. The functional is PBE.

Computed properties:
As for the polymorph energy (0 for the lowest one): 0.0 meV per atom. For the calculated density, the calculation gives 2.77 Mg/m³. Its symmetry is No. 221. The calculation puts the formation enthalpy at 0 K at 0.8526 eV/atom.

Unit cell a=5.4348 b=5.4348 c=5.4348 alpha=90.00 beta=90.00 gamma=90.00
Sites, in units of the cell vectors:
Na 0.0000 0.0000 0.5000
Na 0.0000 0.5000 0.0000
Na 0.5000 0.0000 0.0000
Zr 0.5000 0.5000 0.5000
Ag 0.0000 0.0000 0.0000

---

(10)
This record from Alexandria describes an optimized crystal structure of Na2ZrAg. The functional is PBE.

Computed properties:
As for the polymorph energy (0 for the lowest one): 8.4 meV per atom. For the calculated density, the calculation gives 4.46 Mg/m³. Its symmetry is No. 225. The calculation puts the formation enthalpy at 0 K at 0.7241 eV/atom.

Unit cell a=5.0517 b=5.0517 c=5.0517 alpha=60.00 beta=60.00 gamma=60.00
Sites, in units of the cell vectors:
Na 0.2500 0.2500 0.2500
Na 0.7500 0.7500 0.7500
Zr 0.0000 0.0000 0.0000
Ag 0.5000 0.5000 0.5000

---

(11)
This record from Alexandria describes an optimized crystal structure of Na3ZrAg. The functional is PBE.

Computed properties:
As for the polymorph energy (0 for the lowest one): 462.6 meV per atom. For the calculated density, the calculation gives 1.93 Mg/m³. Its symmetry is No. 221. The calculation puts the formation enthalpy at 0 K at 1.3152 eV/atom.

Unit cell a=6.1325 b=6.1325 c=6.1325 alpha=90.00 beta=90.00 gamma=90.00
Sites, in units of the cell vectors:
Na 0.0000 0.0000 0.5000
Na 0.0000 0.5000 0.0000
Na 0.5000 0.0000 0.0000
Zr 0.0000 0.0000 0.0000
Ag 0.5000 0.5000 0.5000

---

(12)
This record from Alexandria describes an optimized crystal structure of NaZrAg2. The functional is PBE.

Computed properties:
As for the polymorph energy (0 for the lowest one): 139.5 meV per atom. For the calculated density, the calculation gives 6.71 Mg/m³. Its symmetry is No. 225. The calculation puts the formation enthalpy at 0 K at 0.1725 eV/atom.

Unit cell a=4.8703 b=4.8703 c=4.8703 alpha=60.00 beta=60.00 gamma=60.00
Sites, in units of the cell vectors:
Na 0.0000 0.0000 0.0000
Zr 0.5000 0.5000 0.5000
Ag 0.2500 0.2500 0.2500
Ag 0.7500 0.7500 0.7500

---

(13)
This record from Alexandria describes an optimized crystal structure of NaZr2Ag. The functional is PBE.

Computed properties:
As for the polymorph energy (0 for the lowest one): 0.0 meV per atom. For the calculated density, the calculation gives 6.06 Mg/m³. Its symmetry is No. 225. The calculation puts the formation enthalpy at 0 K at 0.4559 eV/atom.

Unit cell a=4.9530 b=4.9530 c=4.9530 alpha=60.00 beta=60.00 gamma=60.00
Sites, in units of the cell vectors:
Na 0.0000 0.0000 0.0000
Zr 0.2500 0.2500 0.2500
Zr 0.7500 0.7500 0.7500
Ag 0.5000 0.5000 0.5000

---

(14)
This record from Alexandria describes an optimized crystal structure of Nb4Ag. The functional is PBE.

Computed properties:
For the calculated density, the calculation gives 6.88 Mg/m³. Its symmetry is No. 221. The calculation puts the formation enthalpy at 0 K at 1.8952 eV/atom.

Unit cell a=4.8733 b=4.8733 c=4.8733 alpha=90.00 beta=90.00 gamma=90.00
Sites, in units of the cell vectors:
Nb 0.0000 0.0000 0.0000
Nb 0.0000 0.5000 0.5000
Nb 0.5000 0.0000 0.5000
Nb 0.5000 0.5000 0.0000
Ag 0.5000 0.5000 0.5000

---

(15)
This record from Alexandria describes an optimized crystal structure of NbAg4. The functional is PBE.

Computed properties:
For the calculated density, the calculation gives 6.32 Mg/m³. Its symmetry is No. 221. The calculation puts the formation enthalpy at 0 K at 1.4559 eV/atom.

Unit cell a=5.1660 b=5.1660 c=5.1660 alpha=90.00 beta=90.00 gamma=90.00
Sites, in units of the cell vectors:
Nb 0.0000 0.0000 0.0000
Ag 0.0000 0.0000 0.5000
Ag 0.0000 0.5000 0.0000
Ag 0.5000 0.0000 0.0000
Ag 0.5000 0.5000 0.5000

---

(16)
This record from Alexandria describes an optimized crystal structure of Nb2Ag. The functional is PBE.

Computed properties:
For the calculated density, the calculation gives 8.83 Mg/m³. Its symmetry is No. 2. The calculation puts the formation enthalpy at 0 K at 0.2995 eV/atom.

Unit cell a=2.9279 b=3.9273 c=5.3836 alpha=111.15 beta=105.69 gamma=90.04
Sites, in units of the cell vectors:
Nb 0.1704 0.1709 0.3420
Nb 0.8296 0.8291 0.6580
Ag 0.5000 0.5000 0.0000

---

(17)
This record from Alexandria describes an optimized crystal structure of Nb5Ag. The functional is PBE.

Computed properties:
For the calculated density, the calculation gives 8.73 Mg/m³. Its symmetry is No. 65. The calculation puts the formation enthalpy at 0 K at 0.1073 eV/atom.

Unit cell a=7.2299 b=7.2299 c=3.3843 alpha=90.00 beta=90.00 gamma=141.99
Sites, in units of the cell vectors:
Nb 0.0000 0.0000 0.0000
Nb 0.1630 0.8370 0.5000
Nb 0.3265 0.6735 0.0000
Nb 0.6735 0.3265 0.0000
Nb 0.8370 0.1630 0.5000
Ag 0.5000 0.5000 0.5000

---

(18)
This record from Alexandria describes an optimized crystal structure of Nd2NbAg. The functional is PBE.

Computed properties:
For the calculated density, the calculation gives 7.94 Mg/m³. Its symmetry is No. 166. The calculation puts the formation enthalpy at 0 K at 0.5461 eV/atom.

Unit cell a=11.5867 b=11.5867 c=11.5867 alpha=15.94 beta=15.94 gamma=15.94
Sites, in units of the cell vectors:
Nd 0.0874 0.0874 0.0874
Nd 0.9126 0.9126 0.9126
Nb 0.0000 0.0000 0.0000
Ag 0.5000 0.5000 0.5000

---

(19)
This record from Alexandria describes an optimized crystal structure of Nd2NbAgO6. The functional is PBE.

Computed properties:
For the calculated density, the calculation gives 6.14 Mg/m³. Its symmetry is No. 99. As for the raw formation energy: -2.435 eV/atom.

Unit cell a=5.3724 b=5.3724 c=5.4800 alpha=90.00 beta=90.00 gamma=90.00
Sites, in units of the cell vectors:
Nd 0.0000 0.5000 0.0000
Nd 0.5000 0.0000 0.0000
Nb 0.0000 0.0000 0.6026
Ag 0.5000 0.5000 0.4957
O 0.0000 0.0000 0.2468
O 0.2347 0.2347 0.7487
O 0.2347 0.7653 0.7487
O 0.5000 0.5000 0.1124
O 0.7653 0.2347 0.7487
O 0.7653 0.7653 0.7487

---

(20)
This record from Alexandria describes an optimized crystal structure of Nb2NiAg. The functional is PBE.

Computed properties:
As for the polymorph energy (0 for the lowest one): 263.7 meV per atom. For the calculated density, the calculation gives 8.35 Mg/m³. Its symmetry is No. 122. The calculation puts the formation enthalpy at 0 K at 0.6131 eV/atom.

Unit cell a=10.1218 b=10.1218 c=10.1218 alpha=158.42 beta=158.42 gamma=30.70
Sites, in units of the cell vectors:
Nb 0.1158 0.6250 0.9908
Nb 0.3750 0.3658 0.4908
Nb 0.6342 0.1250 0.0092
Nb 0.8750 0.8842 0.5092
Ni 0.0000 0.0000 0.0000
Ni 0.7500 0.2500 0.5000
Ag 0.2500 0.7500 0.5000
Ag 0.5000 0.5000 0.0000